1.
Density functional theory data (GGA-PBE) for a relaxed structure of LaGe4Pd6.

a b c (Å): 7.334 7.334 4.067
angles (deg): 90.00 90.00 120.00
Positions (direct):
Ge 0.333 0.667 0.000
Ge 0.390 0.195 0.500
Ge 0.805 0.195 0.500
Ge 0.805 0.610 0.500
Pd 0.201 0.799 0.500
Pd 0.201 0.401 0.500
Pd 0.535 0.071 0.000
Pd 0.929 0.465 0.000
Pd 0.599 0.799 0.500
Pd 0.535 0.465 0.000
La 0.000 0.000 0.000

Calculated values
The calculation puts the total energy at -5.644 eV/atom. Its symmetry is P-6m2. The value obtained for the total magnetization is 0.000 μB/atom.

2.
Density functional theory data (GGA-PBE) for a relaxed structure of Rb2ZnHg2.

a b c (Å): 6.837 6.837 15.022
angles (deg): 90.00 90.00 142.69
Positions (direct):
Rb 0.122 0.878 0.606
Rb 0.878 0.122 0.106
Rb 0.878 0.122 0.394
Rb 0.122 0.878 0.894
Hg 0.153 0.847 0.364
Hg 0.153 0.847 0.136
Hg 0.847 0.153 0.636
Hg 0.847 0.153 0.864
Zn 0.613 0.387 0.250
Zn 0.387 0.613 0.750

Calculated values
The calculation puts the total energy at -0.823 eV/atom. Its symmetry is Cmcm.

3.
Density functional theory data (GGA-PBE) for a relaxed structure of LiTmZnO3.

a b c (Å): 7.042 7.042 6.071
angles (deg): 90.00 90.00 26.03
Positions (direct):
O 0.841 0.841 0.982
O 0.159 0.159 0.018
O 0.512 0.512 0.750
O 0.488 0.488 0.250
O 0.841 0.841 0.518
O 0.159 0.159 0.482
Li 0.338 0.338 0.250
Li 0.662 0.662 0.750
Zn 0.684 0.684 0.250
Zn 0.316 0.316 0.750
Tm 0.000 0.000 0.500
Tm 0.000 0.000 0.000

Calculated values
The calculation puts the total energy at -5.926 eV/atom. Its symmetry is Cmcm. The value obtained for the total magnetization is 0.000 μB/atom.

Which formula does entry 2 have?
Rb2ZnHg2